Compound: CoHgF2
Source: Alexandria
Functional: PBE+U
Structure: relaxed

a b c (Å): 3.2229 3.2229 8.9428
angles (deg): 79.62 79.62 60.00
Last column: magnetic moment on the atom in μB.
Fractional positions:
Co1 0.5000 0.5000 0.5000  2.75
Hg1 0.0000 0.0000 0.0000  0.00
F1 0.1305 0.1305 0.6085  0.08
F2 0.8695 0.8695 0.3915  0.08

uncorrected energy = -3.81 eV per atom
relative energy among the computed polymorphs = 0 meV per atom
spin magnetization = 2.96 μB/f.u.